Entry 1:
The following is a DFT calculation (PBE-GGA) of a relaxed structure of RbNi3P.

Geometry as POSCAR:
```
RbNi3P
1.0
4.606 0.000 0.000
0.000 4.606 0.000
0.000 0.000 4.606
Rb Ni P
1 3 1
Cartesian
0.000 0.000 0.000
0.000 0.000 2.303
0.000 2.303 0.000
2.303 0.000 0.000
2.303 2.303 2.303
```

Values from the calculation:
Distance to the lowest polymorph of the same formula ... 2058 meV per atom

Entry 2:
The following is a DFT calculation (PBE-GGA) of a relaxed structure of Rb2NiP4.

Geometry as POSCAR:
```
Rb2NiP4
1.0
-2.322 2.322 8.667
2.322 -2.322 8.667
2.322 2.322 -8.667
Rb Ni P
2 1 4
Cartesian
0.000 0.000 2.832
0.000 0.000 14.503
0.000 0.000 8.667
2.322 0.000 0.000
0.000 0.000 6.514
0.000 2.322 0.000
0.000 0.000 10.821
```

Values from the calculation:
E ... -0.286 Ry/atom

Entry 3:
The following is a DFT calculation (PBE-GGA) of a relaxed structure of RbNiP3.

Geometry as POSCAR:
```
RbNiP3
1.0
8.614 0.000 0.000
0.000 6.519 0.000
-1.197 0.000 7.893
Rb Ni P
4 4 12
Cartesian
0.907 0.440 2.052
0.308 2.819 5.998
7.109 3.700 1.895
6.510 6.079 5.841
3.357 4.789 4.608
3.955 4.990 0.662
3.462 1.530 7.231
4.060 1.730 3.285
2.030 3.788 1.246
1.432 5.991 5.192
1.701 0.071 7.323
2.300 3.188 3.377
3.298 0.585 5.143
3.896 2.675 1.196
3.521 3.845 6.697
4.119 5.934 2.751
5.117 3.331 4.516
5.716 6.448 0.570
5.985 0.528 2.701
5.387 2.731 6.648
```

Values from the calculation:
Distance to the lowest polymorph of the same formula ... 0 meV per atom